Compound: La2Al4GaAu3
Source: Alexandria via LeMat-Bulk
Functional: GGA-PBE
Structure: optimized geometry

Output
Space-group type: P-4m2 (115)
Crystal system: tetragonal
Formation energy: -70.9 kJ/mol of atoms
V: 209.9 Å³ per cell
N(E_F): 3.8 states/eV/f.u.
Total moment: 0.0 μB per cell

```
La2Al4GaAu3
1.0
4.4576 0.0000 0.0000
0.0000 4.4576 0.0000
0.0000 0.0000 10.5630
La Al Ga Au
2 4 1 3
direct
0.5000 0.0000 0.2537 La
0.0000 0.5000 0.7463 La
0.5000 0.5000 0.0000 Al
0.0000 0.0000 0.0000 Al
0.5000 0.0000 0.6329 Al
0.0000 0.5000 0.3671 Al
0.5000 0.5000 0.5000 Ga
0.0000 0.0000 0.5000 Au
0.5000 0.0000 0.8724 Au
0.0000 0.5000 0.1276 Au
```

Compound: Ce3Nd4Rh2
Source: Alexandria via LeMat-Bulk
Functional: GGA-PBE
Structure: optimized geometry

Output
Space-group type: C2/m (12)
Crystal system: monoclinic
Formation energy: -30.5 kJ/mol of atoms
V: 258.4 Å³ per cell
N(E_F): 17.8 states/eV/f.u.
Total moment: 0.0 μB per cell

```
Ce3Nd4Rh2
1.0
3.6136 0.0000 -0.9964
-0.8537 8.3675 -3.0963
0.4820 -0.9710 8.7992
Ce Nd Rh
3 4 2
direct
0.0687 0.1676 0.1374 Ce
0.9313 0.8324 0.8626 Ce
0.0000 0.5000 0.0000 Ce
0.2327 0.6521 0.4654 Nd
0.7673 0.3479 0.5346 Nd
0.6282 0.8796 0.2563 Nd
0.3718 0.1204 0.7437 Nd
0.4122 0.5876 0.8243 Rh
0.5878 0.4124 0.1757 Rh
```

Compound: Zn2TeIr
Source: Alexandria via LeMat-Bulk
Functional: GGA-PBE
Structure: optimized geometry

Output
Space-group type: P4mm (99)
Crystal system: tetragonal
Energy relative to the elements, uncorrected: 0.77 eV/f.u.
V: 72.1 Å³ per cell
N(E_F): 2.5 states/eV/f.u.
Total moment: 0.0 μB per cell

```
Zn2TeIr
1.0
-1.9647 -2.0122 -1.7469
2.4899 -0.6132 -2.0941
1.8855 -5.0784 3.7290
Ir Te Zn
1 1 2
direct
0.0000 0.0000 0.4602 Ir
0.5000 0.5000 0.7201 Te
0.0000 0.0000 0.0557 Zn
0.5000 0.5000 0.2640 Zn
```

Compound: RbFe2RuRh
Source: Alexandria via LeMat-Bulk
Functional: GGA-PBE
Structure: optimized geometry

Output
Space-group type: P4/mmm (123)
Crystal system: tetragonal
Formation energy: 267.4 kJ/mol of atoms
V: 98.8 Å³ per cell
N(E_F): 6.3 states/eV/f.u.
Total moment: 8.1 μB per cell

```
RbFe2RuRh
1.0
4.6024 0.0000 0.0000
0.0000 4.6666 0.0000
0.0000 0.0000 4.6024
Ru Rh Fe Rb
1 1 2 1
direct
0.5000 0.5000 0.5000 Ru
0.0000 0.5000 0.0000 Rh
0.0000 0.0000 0.5000 Fe
0.5000 0.0000 0.0000 Fe
0.0000 0.0000 0.0000 Rb
```